# 1
VASP calculation (GGA-PBEsol) on a relaxed structure of Os2AuCl.

Unit cell a=5.7954 b=7.5613 c=2.7482 alpha=90.00 beta=90.00 gamma=90.00
Space group Cmmm (No. 65)
Symmetry-distinct sites (fractional):
1 Os 0.2500 0.2500 0.0000
2 Au 0.0000 0.0000 0.5000
3 Cl 0.0000 0.5000 0.5000

Properties
ΔE to the lowest computed polymorph ... 0.76 eV per formula unit

---

# 2
VASP calculation (GGA-PBEsol) on a relaxed structure of Co3Ni3S8.

Unit cell a=6.5194 b=6.5194 c=15.9123 alpha=90.00 beta=90.00 gamma=120.00
Space group R-3m (No. 166, hexagonal axes)
Symmetry-distinct sites (fractional):
1 Co 0.0000 0.0000 0.0000
2 Co 0.0000 0.0000 0.3755
3 Ni 0.0000 0.5000 0.5000
4 S 0.0000 0.0000 0.2444
5 S 0.0195 0.5098 0.7508

---

# 3
VASP calculation (GGA-PBEsol) on a relaxed structure of InPdOF2.

Unit cell a=4.1753 b=4.1753 c=4.0987 alpha=90.00 beta=90.00 gamma=90.00
Space group P4/mmm (No. 123)
Symmetry-distinct sites (fractional):
1 In 0.0000 0.0000 0.0000
2 Pd 0.5000 0.5000 0.5000
3 O 0.0000 0.0000 0.5000
4 F 0.0000 0.5000 0.0000

---

# 4
VASP calculation (GGA-PBEsol) on a relaxed structure of Cu2SiHgTe4.

Unit cell a=6.0946 b=6.0946 c=11.7630 alpha=90.00 beta=90.00 gamma=90.00
Space group I-42m (No. 121)
Symmetry-distinct sites (fractional):
1 Cu 0.0000 0.5000 0.2500
2 Si 0.0000 0.0000 0.0000
3 Hg 0.0000 0.0000 0.5000
4 Te 0.2307 0.2307 0.8634

---

For reference, formation energy (no corrections) by record: 1.359; -0.510; -1.020; -0.081 eV per atom.
For reference, total magnetization by record: 0.0000; 0.0000; 0.2030; 0.0000 μB per atom.
For reference, raw total energy by record: -24.9; -83.9; -23.1; -29.7 eV per formula unit.